A relaxed Ba4H5N crystal. Source: Alexandria via LeMat-Bulk, functional GGA-PBE.

Space-group type = C2/m

a b c (Å): 4.3245 6.9070 9.7166
angles (deg): 53.05 102.86 90.00
With the nearest neighbours (Å) after each atom.
Fractional positions:
H1 0.1454 0.1590 0.2908  4 Ba 2.75-3.05
H2 0.5000 0.5000 0.0000  4 Ba 2.83, 4 H 3.13
Ba1 0.6673 0.8813 0.3347  5 H 2.67-2.76, 1 N 2.74
H3 0.1942 0.6170 0.3885  4 Ba 2.60-2.76, 2 H 2.75
Ba2 0.0470 0.6656 0.0939  4 H 2.60-2.83, 2 N 2.88
H4 0.8058 0.3830 0.6115  4 Ba 2.60-2.76, 2 H 2.75
N1 0.5000 0.0000 0.0000  6 Ba 2.74-2.88
Ba3 0.3327 0.1187 0.6653  5 H 2.67-2.76, 1 N 2.74
H5 0.8546 0.8410 0.7092  4 Ba 2.75-3.05
Ba4 0.9530 0.3344 0.9061  4 H 2.60-2.83, 2 N 2.88

A relaxed BaNbHN2 crystal. Source: Alexandria via LeMat-Bulk, functional GGA-PBE.

Space-group type = P2_1/m

a b c (Å): 3.2929 7.0477 6.9096
angles (deg): 104.70 90.00 90.00
With the nearest neighbours (Å) after each atom.
Fractional positions:
Ba1 0.2500 0.6902 0.2891  3 H 2.56-2.76, 2 N 2.73
N1 0.7500 0.8665 0.0726  1 Nb 1.95
Nb1 0.2500 0.8478 0.8299  3 N 1.95-2.05, 1 H 1.99
N2 0.2500 0.2122 0.3517  2 Nb 2.05
Ba2 0.7500 0.3098 0.7109  3 H 2.56-2.76, 2 N 2.73
H1 0.7500 0.4200 0.1236  1 Nb 1.99
N3 0.2500 0.1335 0.9274  1 Nb 1.95
N4 0.7500 0.7878 0.6483  2 Nb 2.05
H2 0.2500 0.5800 0.8764  1 Nb 1.99
Nb2 0.7500 0.1522 0.1701  3 N 1.95-2.05, 1 H 1.99

A relaxed Ba2H2NO2 crystal. Source: Alexandria via LeMat-Bulk, functional GGA-PBE.

Space-group type = P-1

a b c (Å): 4.2375 5.3841 8.3812
angles (deg): 50.22 67.50 50.76
With the nearest neighbours (Å) after each atom.
Fractional positions:
N1 0.0000 0.0000 0.0000  2 H 1.79
Ba1 0.3895 0.0535 0.2505  1 N 2.62, 4 O 2.68-2.81, 2 H 2.70-2.71
H1 0.3683 0.6023 0.2125  1 O 1.02
Ba2 0.6105 0.9465 0.7495  1 N 2.62, 4 O 2.68-2.81, 2 H 2.70-2.71
O1 0.4203 0.6240 0.6665  1 H 1.02
H2 0.6317 0.3977 0.7875  1 O 1.02
O2 0.5797 0.3760 0.3335  1 H 1.02

A relaxed BaHN2O crystal. Source: Alexandria via LeMat-Bulk, functional GGA-PBE.

Space-group type = P4/mmm

a b c (Å): 5.7565 5.7565 4.5702
angles (deg): 90.00 90.00 90.00
With the nearest neighbours (Å) after each atom.
Fractional positions:
N1 0.0000 0.5000 0.0000  2 Ba 2.88
Ba1 0.0000 0.0000 0.0000  2 O 2.29
N2 0.5000 0.0000 0.0000  2 Ba 2.88
H1 0.5000 0.5000 0.5000  8 N 3.68, 4 O 4.07
O1 0.0000 0.0000 0.5000  2 Ba 2.29

Number 1: E_tot -3.72 eV/atom. Number 2: E_tot -7.13 eV/atom. Number 3: E_tot -5.35 eV/atom. Number 4: E_tot -3.70 eV/atom.